! NiAgIO2 (PBE+U, relaxed); values from VASP
&SYSTEM
  ibrav = 0, nat = 5, ntyp = 4
/
ATOMIC_SPECIES
Ni 58.69 Ni.upf
O 16.00 O.upf
I 126.90 I.upf
Ag 107.87 Ag.upf
CELL_PARAMETERS angstrom
-2.3396 3.0443 0.2493
-1.1332 -0.5735 -3.6319
-5.1045 -4.1064 2.2411
ATOMIC_POSITIONS crystal
Ni 0.0000 0.0000 0.0000
O 0.0000 0.5000 0.0000
O 0.5000 0.0000 0.0000
I 0.0000 0.0000 0.5000
Ag 0.5000 0.5000 0.5000
! - energy above the lowest structure with this stoichiometry (meV per atom) = 0.0
! - N(E_F) (states/eV per cell) = 4.341